Entry 1:
Tb7Nd4Dy: optimized geometry, PBE-GGA.

Unit cell a=5.964 b=11.734 c=6.757 alpha=83.68 beta=63.81 gamma=75.28
Atoms (fractional coordinates):
1 Tb 0.368 0.496 0.767
2 Tb 0.500 0.000 0.000
3 Tb 0.931 0.313 0.824
4 Tb 0.069 0.687 0.176
5 Tb 0.788 0.923 0.500
6 Tb 0.632 0.504 0.233
7 Tb 0.212 0.077 0.500
8 Nd 0.776 0.668 0.781
9 Nd 0.224 0.332 0.219
10 Nd 0.360 0.777 0.502
11 Nd 0.640 0.223 0.498
12 Dy 0.000 0.000 0.000

Values from the calculation:
Polymorph energy (0 for the lowest one) in eV/atom: 0.1764
Magnetization in μB/atom: 0.0000
SG: C2/m
Formation enthalpy at 0 K in eV/atom: 0.2626

=====

Entry 2:
Tb10NdDy4: optimized geometry, PBE-GGA.

Unit cell a=7.701 b=9.436 c=9.436 alpha=80.41 beta=65.91 gamma=65.91
Atoms (fractional coordinates):
1 Tb 0.352 0.698 0.101
2 Tb 0.547 0.101 0.302
3 Tb 0.950 0.899 0.698
4 Tb 0.453 0.899 0.698
5 Tb 0.050 0.101 0.302
6 Tb 0.151 0.302 0.899
7 Tb 0.750 0.500 0.500
8 Tb 0.849 0.698 0.101
9 Tb 0.250 0.500 0.500
10 Tb 0.648 0.302 0.899
11 Dy 0.600 0.200 0.600
12 Dy 0.400 0.800 0.400
13 Dy 0.800 0.600 0.800
14 Dy 0.200 0.400 0.200
15 Nd 0.000 0.000 0.000

Values from the calculation:
Magnetization in μB/atom: 0.0000
SG: I4/m
Formation enthalpy at 0 K in eV/atom: 0.7326

=====

Entry 3:
TbNdDy: optimized geometry, PBE-GGA.

Unit cell a=3.596 b=3.596 c=8.038 alpha=102.92 beta=102.92 gamma=90.00
Atoms (fractional coordinates):
1 Nd 0.000 0.000 0.000
2 Tb 0.332 0.332 0.663
3 Dy 0.668 0.668 0.336

Values from the calculation:
Polymorph energy (0 for the lowest one) in eV/atom: 0.0009
Magnetization in μB/atom: 0.0000
SG: I4mm
Formation enthalpy at 0 K in eV/atom: 0.0194

=====

Entry 4:
TbNd5Dy: optimized geometry, PBE-GGA.

Unit cell a=6.217 b=9.368 c=9.075 alpha=86.25 beta=78.65 gamma=70.62
Atoms (fractional coordinates):
1 Nd 0.540 0.694 0.464
2 Nd 0.460 0.306 0.536
3 Nd 0.388 0.630 0.854
4 Nd 0.858 0.283 0.750
5 Nd 0.766 0.694 0.036
6 Nd 0.234 0.306 0.964
7 Nd 0.142 0.717 0.250
8 Nd 0.612 0.370 0.146
9 Nd 0.983 0.630 0.646
10 Nd 0.017 0.370 0.354
11 Tb 0.000 0.000 0.500
12 Tb 0.000 0.000 0.000
13 Dy 0.489 0.021 0.250
14 Dy 0.511 0.979 0.750

Values from the calculation:
Magnetization in μB/atom: 0.0000
SG: C2/c
Formation enthalpy at 0 K in eV/atom: 0.1708

=====

Entry 5:
Tb7Nd2Dy2: optimized geometry, PBE-GGA.

Unit cell a=8.072 b=10.462 c=8.072 alpha=126.16 beta=88.59 gamma=53.84
Atoms (fractional coordinates):
1 Tb 0.240 0.322 0.234
2 Tb 0.766 0.322 0.760
3 Tb 0.234 0.678 0.240
4 Tb 0.000 0.500 0.000
5 Tb 0.648 0.080 0.352
6 Tb 0.760 0.678 0.766
7 Tb 0.352 0.920 0.648
8 Nd 0.783 0.305 0.217
9 Nd 0.217 0.695 0.783
10 Dy 0.715 0.000 0.715
11 Dy 0.285 0.000 0.285

Values from the calculation:
Polymorph energy (0 for the lowest one) in eV/atom: 0.0000
Magnetization in μB/atom: 0.0000
SG: C2/m
Formation enthalpy at 0 K in eV/atom: 0.1487

=====

Entry 6:
Tb16Nd6Dy7: optimized geometry, PBE-GGA.

Unit cell a=11.201 b=11.201 c=11.201 alpha=60.00 beta=60.00 gamma=60.00
Atoms (fractional coordinates):
1 Dy 0.500 0.000 0.500
2 Dy 0.000 0.500 0.500
3 Dy 0.000 0.000 0.000
4 Dy 0.000 0.000 0.500
5 Dy 0.500 0.000 0.000
6 Dy 0.500 0.500 0.000
7 Dy 0.000 0.500 0.000
8 Nd 0.273 0.727 0.273
9 Nd 0.273 0.727 0.727
10 Nd 0.273 0.273 0.727
11 Nd 0.727 0.273 0.727
12 Nd 0.727 0.273 0.273
13 Nd 0.727 0.727 0.273
14 Tb 0.349 0.349 0.349
15 Tb 0.651 0.046 0.651
16 Tb 0.378 0.874 0.874
17 Tb 0.622 0.126 0.126
18 Tb 0.046 0.651 0.651
19 Tb 0.349 0.954 0.349
20 Tb 0.874 0.378 0.874
21 Tb 0.874 0.874 0.874
22 Tb 0.126 0.126 0.622
23 Tb 0.954 0.349 0.349
24 Tb 0.349 0.349 0.954
25 Tb 0.874 0.874 0.378
26 Tb 0.651 0.651 0.046
27 Tb 0.126 0.126 0.126
28 Tb 0.651 0.651 0.651
29 Tb 0.126 0.622 0.126

Values from the calculation:
Magnetization in μB/atom: 0.0001
SG: Fm-3m
Formation enthalpy at 0 K in eV/atom: 0.2301

=====

Entry 7:
Tb7Nd2Dy: optimized geometry, PBE-GGA.

Unit cell a=3.513 b=14.847 c=14.847 alpha=154.52 beta=90.00 gamma=90.00
Atoms (fractional coordinates):
1 Tb 0.500 0.148 0.344
2 Tb 0.000 0.186 0.814
3 Tb 0.500 0.344 0.148
4 Tb 0.500 0.656 0.852
5 Tb 0.500 0.852 0.656
6 Tb 0.500 0.500 0.500
7 Tb 0.000 0.814 0.186
8 Dy 0.000 0.000 0.000
9 Nd 0.500 0.293 0.707
10 Nd 0.500 0.707 0.293

Values from the calculation:
Polymorph energy (0 for the lowest one) in eV/atom: 0.1411
Magnetization in μB/atom: 0.0000
SG: Cmmm
Formation enthalpy at 0 K in eV/atom: 0.1562

=====

Entry 8:
Tb3Nd8Dy2: optimized geometry, PBE-GGA.

Unit cell a=5.763 b=7.727 c=10.941 alpha=110.68 beta=90.03 gamma=90.00
Atoms (fractional coordinates):
1 Nd 0.500 0.400 0.212
2 Nd 0.001 0.868 0.736
3 Nd 0.001 0.673 0.347
4 Nd 0.500 0.600 0.788
5 Nd 0.999 0.327 0.653
6 Nd 0.500 0.188 0.788
7 Nd 0.999 0.132 0.264
8 Nd 0.500 0.812 0.212
9 Dy 0.501 0.760 0.520
10 Dy 0.499 0.240 0.480
11 Tb 0.500 0.000 0.000
12 Tb 0.000 0.286 0.000
13 Tb 0.000 0.714 0.000

Values from the calculation:
Magnetization in μB/atom: 0.0000
SG: C2/m
Formation enthalpy at 0 K in eV/atom: 0.2044